Run 1
A plane-wave DFT calculation with PBE-GGA was carried out for MnPdS2N after structural relaxation.

POSCAR file:
```
MnPdS2N
1.0
4.837 0.000 0.000
0.000 4.837 0.000
0.000 0.000 3.666
Mn Pd S N
1 1 2 1
direct
0.000 0.000 0.000 Mn
0.500 0.500 0.500 Pd
0.000 0.500 0.500 S
0.500 0.000 0.500 S
0.500 0.500 0.000 N
```

## Properties
calculated volume: 17.15 A^3/atom
space group: P4/mmm (123)


Run 2
A plane-wave DFT calculation with PBE-GGA was carried out for MnPdS2N after structural relaxation.

POSCAR file:
```
MnPdS2N
1.0
4.648 0.000 0.000
0.000 4.648 0.000
0.000 0.000 3.425
Mn Pd S N
1 1 2 1
direct
0.000 0.000 0.000 Mn
0.500 0.500 0.500 Pd
0.000 0.500 0.000 S
0.500 0.000 0.000 S
0.000 0.000 0.500 N
```

## Properties
calculated volume: 14.80 A^3/atom
space group: P4/mmm (123)


The most stable arrangement is run 2, and the next structure is 1.030 eV/atom less stable.


Run 1
A plane-wave DFT calculation with PBE-GGA was carried out for Ta2MnPdN after structural relaxation.

POSCAR file:
```
Ta2MnPdN
1.0
4.173 0.000 0.000
0.000 4.173 0.000
0.000 0.000 4.079
Ta Mn Pd N
2 1 1 1
direct
0.000 0.500 0.000 Ta
0.500 0.000 0.000 Ta
0.000 0.000 0.500 Mn
0.500 0.500 0.500 Pd
0.500 0.500 0.000 N
```

## Properties
calculated volume: 14.21 A^3/atom
space group: P4/mmm (123)


Run 2
A plane-wave DFT calculation with PBE-GGA was carried out for Ta2MnPdN after structural relaxation.

POSCAR file:
```
Ta2MnPdN
1.0
4.246 0.000 0.000
0.000 4.246 0.000
0.000 0.000 3.853
Ta Mn Pd N
2 1 1 1
direct
0.000 0.500 0.000 Ta
0.500 0.000 0.000 Ta
0.000 0.000 0.500 Mn
0.500 0.500 0.500 Pd
0.000 0.000 0.000 N
```

## Properties
calculated volume: 13.90 A^3/atom
space group: P4/mmm (123)


The most stable arrangement is run 2, and the next structure is 0.382 eV/atom less stable.